PBE Ca3Pu3TiN8, relaxed; DOS at the Fermi energy = 1.35 states/eV per atom; space-group type = No. 166; total magnetization = 10.0 μB/cell; formation energy (no corrections) = -1.1204 eV/atom
1.0
3.3668 1.9438 5.6349
-3.3668 1.9438 5.6349
0.0000 -3.8876 5.6349
Ca Pu Ti N
3 3 1 8
Cartesian
-1.6834 -0.9719 5.6349 Ca
-1.6834 0.9719 11.2698 Ca
0.0000 1.9438 5.6349 Ca
-3.3668 0.0000 8.4524 Pu
-1.6834 0.9719 2.8175 Pu
1.6834 0.9719 2.8175 Pu
0.0000 0.0000 8.4524 Ti
0.0000 0.0000 4.0686 N
-1.5944 -0.9205 9.5376 N
0.0000 -1.8410 7.3672 N
-1.5944 0.9205 7.3672 N
1.5944 -0.9205 9.5376 N
0.0000 1.8410 9.5376 N
1.5944 0.9205 7.3672 N
0.0000 0.0000 12.8362 N